Record 1
{"formula": "Na3SrTe", "functional": "GGA-PBE", "state": "optimized geometry", "e_above_lowest_polymorph_kcal_per_mol_atoms": 19.24, "vol_a3_per_atom": 52.3, "lattice_angstrom": [[-5.686, -2.849, 0.667], [2.855, -5.084, 2.626], [-0.640, 2.633, 5.792]], "species": ["Na", "Na", "Na", "Sr", "Te"], "frac_coords": [[0.500, 0.000, 0.000], [0.000, 0.000, 0.500], [0.000, 0.500, 0.000], [0.000, 0.000, 0.000], [0.500, 0.500, 0.500]]}



Record 2
{"formula": "NaSr3Te4", "functional": "GGA-PBE", "state": "optimized geometry", "total_energy_ev_per_atom": -3.75, "vol_a3_per_atom": 37.2, "lattice_angstrom": [[6.679, 0.000, 0.000], [0.000, 6.679, 0.000], [0.000, 0.000, 6.679]], "species": ["Te", "Te", "Te", "Te", "Na", "Sr", "Sr", "Sr"], "frac_coords": [[0.000, 0.000, 0.500], [0.000, 0.500, 0.000], [0.500, 0.500, 0.500], [0.500, 0.000, 0.000], [0.000, 0.000, 0.000], [0.500, 0.000, 0.500], [0.500, 0.500, 0.000], [0.000, 0.500, 0.500]]}



Record 3
{"formula": "Na2Sr2Te", "functional": "GGA-PBE", "state": "optimized geometry", "e_above_lowest_polymorph_kcal_per_mol_atoms": 2.07, "vol_a3_per_atom": 47.4, "lattice_angstrom": [[8.733, 0.000, 0.000], [0.000, 8.733, 0.000], [0.000, 0.000, 6.213]], "species": ["Sr", "Sr", "Sr", "Sr", "Te", "Te", "Na", "Na", "Na", "Na"], "frac_coords": [[0.672, 0.172, 0.000], [0.328, 0.828, 0.000], [0.828, 0.672, 0.000], [0.172, 0.328, 0.000], [0.000, 0.000, 0.000], [0.500, 0.500, 0.000], [0.363, 0.137, 0.500], [0.863, 0.363, 0.500], [0.637, 0.863, 0.500], [0.137, 0.637, 0.500]]}



Record 4
{"formula": "NaSrTe", "functional": "GGA-PBE", "state": "optimized geometry", "total_energy_ev_per_atom": -3.10, "vol_a3_per_atom": 41.1, "lattice_angstrom": [[6.625, 0.000, 0.000], [3.312, 3.287, 0.419], [3.312, 1.832, 11.563]], "species": ["Te", "Te", "Sr", "Sr", "Na", "Na"], "frac_coords": [[0.249, 0.355, 0.148], [0.751, 0.645, 0.852], [0.251, 0.647, 0.851], [0.749, 0.353, 0.149], [0.250, 0.070, 0.429], [0.750, 0.930, 0.571]]}



Record 5
{"formula": "NaSr2Te", "functional": "GGA-PBE", "state": "optimized geometry", "total_energy_ev_per_atom": -2.68, "vol_a3_per_atom": 45.5, "lattice_angstrom": [[4.501, 0.000, 0.000], [2.251, 3.898, 0.000], [2.251, 1.299, 10.367]], "species": ["Te", "Na", "Sr", "Sr"], "frac_coords": [[0.667, 0.667, 0.000], [0.500, 0.500, 0.501], [0.267, 0.267, 0.198], [0.066, 0.066, 0.802]]}



Record 6
{"formula": "Na2SrTe2", "functional": "GGA-PBE", "state": "optimized geometry", "e_above_lowest_polymorph_kcal_per_mol_atoms": 3.73, "vol_a3_per_atom": 34.4, "lattice_angstrom": [[-5.565, -2.704, 6.253], [6.491, -4.554, 3.808], [1.045, 3.552, 2.467]], "species": ["Te", "Te", "Te", "Te", "Sr", "Sr", "Na", "Na", "Na", "Na"], "frac_coords": [[0.824, 0.676, 0.000], [0.676, 0.176, 0.000], [0.324, 0.824, 0.000], [0.176, 0.324, 0.000], [0.000, 0.000, 0.000], [0.500, 0.500, 0.000], [0.371, 0.129, 0.500], [0.871, 0.371, 0.500], [0.129, 0.629, 0.500], [0.629, 0.871, 0.500]]}



Record 7
{"formula": "Na2Sr2Te", "functional": "GGA-PBE", "state": "optimized geometry", "e_above_lowest_polymorph_kcal_per_mol_atoms": 3.56, "vol_a3_per_atom": 38.6, "lattice_angstrom": [[8.371, 0.000, 0.000], [0.000, 8.371, 0.000], [0.000, 0.000, 5.508]], "species": ["Na", "Na", "Na", "Na", "Sr", "Sr", "Sr", "Sr", "Te", "Te"], "frac_coords": [[0.865, 0.635, 0.000], [0.135, 0.365, 0.000], [0.365, 0.865, 0.000], [0.635, 0.135, 0.000], [0.825, 0.325, 0.500], [0.675, 0.825, 0.500], [0.325, 0.175, 0.500], [0.175, 0.675, 0.500], [0.000, 0.000, 0.000], [0.500, 0.500, 0.000]]}



Record 8
{"formula": "NaSrTe2", "functional": "GGA-PBE", "state": "optimized geometry", "total_energy_ev_per_atom": -3.34, "vol_a3_per_atom": 33.7, "lattice_angstrom": [[-7.425, -2.016, 3.877], [-0.955, -6.710, -5.318], [-2.393, -6.476, 1.622]], "species": ["Sr", "Sr", "Na", "Na", "Te", "Te", "Te", "Te"], "frac_coords": [[0.750, 0.250, 0.500], [0.000, 0.000, 0.000], [0.250, 0.750, 0.500], [0.500, 0.500, 0.000], [0.611, 0.125, 0.250], [0.139, 0.625, 0.250], [0.375, 0.389, 0.750], [0.875, 0.861, 0.750]]}



no.,size of the total moment (μB per cell)
1,0.86
2,0.63
3,0.00
4,0.00
5,0.00
6,0.00
7,0.00
8,0.00